Entry 1:
SbAsW: optimized geometry, PBE-GGA.

Computed properties:
- volume (Å³ per atom) = 21.37
- DOS at the Fermi energy (states/eV/f.u.) = 1.041
- SG = I4mm
- E_form (uncorrected) (meV per atom) = 251
- ΔE to the lowest computed polymorph (meV/atom) = 51

a = 6.7975 Å, b = 6.7975 Å, c = 6.7975 Å
α = 153.12°, β = 153.12°, γ = 38.38°
Closest atoms and distances in Å follow each position.
Element x y z (fractional)
W1 0.6520 0.6520 0.0000  4 As 2.63
As1 0.0440 0.0440 0.0000  4 W 2.63
Sb1 0.3040 0.3040 0.0000  4 W 2.97, 4 Sb 3.16

---

Entry 2:
NaAlSn: optimized geometry, PBE-GGA.

Computed properties:
- volume (Å³ per atom) = 25.21
- DOS at the Fermi energy (states/eV/f.u.) = 1.474
- SG = I4mm
- formation enthalpy at 0 K (eV per atom) = 0.069

a = 3.7269 Å, b = 3.7269 Å, c = 6.0497 Å
α = 107.94°, β = 107.94°, γ = 90.00°
Closest atoms and distances in Å follow each position.
Element x y z (fractional)
Al1 0.3040 0.3040 0.6080  4 Sn 2.96
Sn1 0.9272 0.9272 0.8543  4 Al 2.96
Na1 0.6188 0.6188 0.2377  5 Al 3.32-3.43, 5 Sn 3.36

---

Entry 3:
LiCaZr2: optimized geometry, PBE-GGA.

Computed properties:
- volume (Å³ per atom) = 24.34
- DOS at the Fermi energy (states/eV/f.u.) = 6.593
- SG = R-3m
- formation enthalpy at 0 K (eV per atom) = 0.383
- ΔE to the lowest computed polymorph (meV/atom) = 212

a = 11.1769 Å, b = 11.1769 Å, c = 11.1769 Å
α = 16.43°, β = 16.43°, γ = 16.43°
Closest atoms and distances in Å follow each position.
Element x y z (fractional)
Ca1 0.2500 0.2500 0.2500  6 Ca 3.19, 6 Zr 3.53
Li1 0.7500 0.7500 0.7500  6 Zr 3.11, 6 Li 3.19
Zr1 0.0077 0.0077 0.0077  3 Li 3.11, 6 Zr 3.19
Zr2 0.4923 0.4923 0.4923  3 Li 3.11, 6 Zr 3.19

---

Entry 4:
SrCuSn2Pd4: optimized geometry, PBE-GGA.

Computed properties:
- volume (Å³ per atom) = 20.11
- DOS at the Fermi energy (states/eV/f.u.) = 3.462
- SG = R-3m
- formation enthalpy at 0 K (eV per atom) = -0.526

a = 4.5099 Å, b = 4.5099 Å, c = 9.4954 Å
α = 76.26°, β = 76.26°, γ = 60.00°
Closest atoms and distances in Å follow each position.
Element x y z (fractional)
Sn1 0.2360 0.2360 0.2920  7 Pd 2.69-2.80
Sr1 0.0000 0.0000 0.0000  6 Pd 3.29
Pd1 0.1348 0.1348 0.5956  3 Cu 2.75, 4 Sn 2.77-2.80
Pd2 0.4066 0.4066 0.7801  1 Cu 2.56, 3 Sn 2.69
Pd3 0.5934 0.5934 0.2199  1 Cu 2.56, 3 Sn 2.69
Sn2 0.7640 0.7640 0.7080  7 Pd 2.69-2.80
Pd4 0.8652 0.8652 0.4044  3 Cu 2.75, 4 Sn 2.77-2.80
Cu1 0.5000 0.5000 0.5000  8 Pd 2.56-2.75

---

Entry 5:
PuPaAgSb: optimized geometry, PBE-GGA.

Computed properties:
- volume (Å³ per atom) = 25.75
- DOS at the Fermi energy (states/eV/f.u.) = 12.184
- SG = F-43m
- E_form (uncorrected) (meV per atom) = -111

a = 5.2615 Å, b = 5.2615 Å, c = 5.2615 Å
α = 60.00°, β = 60.00°, γ = 60.00°
Closest atoms and distances in Å follow each position.
Element x y z (fractional)
Pa1 0.7500 0.7500 0.7500  4 Sb 3.22, 4 Ag 3.22
Sb1 0.5000 0.5000 0.5000  4 Pa 3.22, 4 Pu 3.22
Pu1 0.2500 0.2500 0.2500  4 Sb 3.22, 4 Ag 3.22
Ag1 0.0000 0.0000 0.0000  4 Pu 3.22, 4 Pa 3.22

---

Entry 6:
Mg2TlF: optimized geometry, PBE-GGA.

Computed properties:
- volume (Å³ per atom) = 20.51
- DOS at the Fermi energy (states/eV/f.u.) = 2.630
- SG = Fm-3m
- E_form (uncorrected) (meV per atom) = -627
- ΔE to the lowest computed polymorph (meV/atom) = 426

a = 4.8776 Å, b = 4.8776 Å, c = 4.8776 Å
α = 60.00°, β = 60.00°, γ = 60.00°
Closest atoms and distances in Å follow each position.
Element x y z (fractional)
Mg1 0.2500 0.2500 0.2500  4 Tl 2.99, 4 F 2.99
Mg2 0.7500 0.7500 0.7500  4 Tl 2.99, 4 F 2.99
F1 0.0000 0.0000 0.0000  8 Mg 2.99
Tl1 0.5000 0.5000 0.5000  8 Mg 2.99

---

Entry 7:
NbCu2Pt: optimized geometry, PBE-GGA.

Computed properties:
- volume (Å³ per atom) = 14.23
- DOS at the Fermi energy (states/eV/f.u.) = 2.102
- SG = Fm-3m
- formation enthalpy at 0 K (eV per atom) = -0.173

a = 4.3179 Å, b = 4.3179 Å, c = 4.3179 Å
α = 60.00°, β = 60.00°, γ = 60.00°
Closest atoms and distances in Å follow each position.
Element x y z (fractional)
Pt1 0.5000 0.5000 0.5000  8 Cu 2.64
Cu1 0.7500 0.7500 0.7500  4 Pt 2.64, 4 Nb 2.64
Nb1 0.0000 0.0000 0.0000  8 Cu 2.64
Cu2 0.2500 0.2500 0.2500  4 Pt 2.64, 4 Nb 2.64

---

Entry 8:
UPaAsS: optimized geometry, PBE-GGA.

Computed properties:
- volume (Å³ per atom) = 22.65
- DOS at the Fermi energy (states/eV/f.u.) = 8.332
- SG = P4/mmm
- E_form (uncorrected) (meV per atom) = -1159
- ΔE to the lowest computed polymorph (meV/atom) = 0

a = 3.9996 Å, b = 4.0069 Å, c = 5.6527 Å
α = 90.01°, β = 90.00°, γ = 90.00°
Closest atoms and distances in Å follow each position.
Element x y z (fractional)
As1 0.0000 0.8916 0.5924  2 U 2.83, 4 Pa 2.83
U1 0.0000 0.8915 0.0924  2 As 2.83, 4 S 2.83
S1 0.5000 0.3915 0.0924  2 Pa 2.83, 4 U 2.83
Pa1 0.5000 0.3916 0.5925  2 S 2.83, 4 As 2.83

---

Entry 9:
PmSmCdOs: optimized geometry, PBE-GGA.

Computed properties:
- volume (Å³ per atom) = 23.89
- DOS at the Fermi energy (states/eV/f.u.) = 3.771
- SG = F-43m
- formation enthalpy at 0 K (eV per atom) = -0.101

a = 5.1321 Å, b = 5.1321 Å, c = 5.1321 Å
α = 60.00°, β = 60.00°, γ = 60.00°
Closest atoms and distances in Å follow each position.
Element x y z (fractional)
Os1 0.2500 0.2500 0.2500  4 Pm 3.14, 4 Sm 3.14
Pm1 0.5000 0.5000 0.5000  4 Cd 3.14, 4 Os 3.14
Cd1 0.7500 0.7500 0.7500  4 Sm 3.14, 4 Pm 3.14
Sm1 0.0000 0.0000 0.0000  4 Os 3.14, 4 Cd 3.14

---

Entry 10:
Rb4TlPb4: optimized geometry, PBE-GGA.

Computed properties:
- volume (Å³ per atom) = 47.68
- DOS at the Fermi energy (states/eV/f.u.) = 7.309
- SG = I-42m
- formation enthalpy at 0 K (eV per atom) = 0.103

a = 7.2380 Å, b = 9.6581 Å, c = 7.2380 Å
α = 67.99°, β = 90.00°, γ = 112.01°
Closest atoms and distances in Å follow each position.
Element x y z (fractional)
Pb1 0.6794 0.6708 0.3206  1 Tl 3.13, 1 Pb 3.19
Tl1 0.0000 0.0000 0.0000  4 Pb 3.13
Pb2 0.3206 0.3292 0.9914  1 Tl 3.13, 1 Pb 3.19
Pb3 0.9914 0.6708 0.0086  1 Tl 3.13, 1 Pb 3.19
Rb1 0.2063 0.7761 0.4302  5 Pb 3.67-4.08, 1 Rb 3.72, 1 Tl 3.74
Rb2 0.5698 0.7761 0.7937  5 Pb 3.67-4.08, 1 Rb 3.72, 1 Tl 3.74
Pb4 0.0086 0.3292 0.6794  1 Tl 3.13, 1 Pb 3.19
Rb3 0.4302 0.2239 0.5698  5 Pb 3.67-4.08, 1 Rb 3.72, 1 Tl 3.74
Rb4 0.7937 0.2239 0.2063  5 Pb 3.67-4.08, 1 Rb 3.72, 1 Tl 3.74

---

Entry 11:
CsZn3Tc: optimized geometry, PBE-GGA.

Computed properties:
- volume (Å³ per atom) = 38.71
- DOS at the Fermi energy (states/eV/f.u.) = 6.634
- SG = Pm-3m
- formation enthalpy at 0 K (eV per atom) = 1.952
- ΔE to the lowest computed polymorph (meV/atom) = 1498

a = 5.7843 Å, b = 5.7843 Å, c = 5.7843 Å
α = 90.00°, β = 90.00°, γ = 90.00°
Closest atoms and distances in Å follow each position.
Element x y z (fractional)
Zn1 0.0000 0.0000 0.5000  2 Cs 2.89
Cs1 0.0000 0.0000 0.0000  6 Zn 2.89
Tc1 0.5000 0.5000 0.5000  12 Zn 4.09
Zn2 0.0000 0.5000 0.0000  2 Cs 2.89
Zn3 0.5000 0.0000 0.0000  2 Cs 2.89

---

Entry 12:
Bi2PO6: optimized geometry, PBE-GGA.

Computed properties:
- volume (Å³ per atom) = 13.26
- DOS at the Fermi energy (states/eV/f.u.) = 3.497
- SG = P2_1/c
- E_form (uncorrected) (meV per atom) = -1399
- ΔE to the lowest computed polymorph (meV/atom) = 149

a = 6.2148 Å, b = 5.1937 Å, c = 7.4048 Å
α = 93.14°, β = 90.00°, γ = 90.00°
Closest atoms and distances in Å follow each position.
Element x y z (fractional)
O1 0.3552 0.2193 0.0264  1 P 1.73
Bi1 0.9033 0.5244 0.7400  5 O 2.30-2.44
P1 0.0000 0.0000 0.5000  6 O 1.71-1.73
O2 0.0487 0.0915 0.7212  1 P 1.71
O3 0.1448 0.7193 0.5264  1 P 1.73
O4 0.5487 0.4085 0.7788  1 P 1.71
O5 0.2335 0.1541 0.4391  1 P 1.73
O6 0.7665 0.8459 0.5609  1 P 1.73
O7 0.8552 0.2807 0.4736  1 P 1.73
O8 0.4513 0.5915 0.2212  1 P 1.71
P2 0.5000 0.5000 0.0000  6 O 1.71-1.73
O9 0.2665 0.6541 0.9391  1 P 1.73
O10 0.7335 0.3459 0.0609  1 P 1.73
O11 0.9513 0.9085 0.2788  1 P 1.71
Bi2 0.4033 0.9756 0.7600  5 O 2.30-2.44
Bi3 0.5967 0.0244 0.2400  5 O 2.30-2.44
O12 0.6448 0.7807 0.9736  1 P 1.73
Bi4 0.0967 0.4756 0.2600  5 O 2.30-2.44